Material: NaW2O
Method: DFT, PBE+U
State: relaxed

total magnetic moment = 7.64 μB per formula unit
electronic total energy = -4.62 eV/atom
crystal system = tetragonal

Cell: 7.3351 7.3351 7.3351 Å, 130.50 130.50 72.61°
Closest atoms and distances in Å follow each position.
Sites, in units of the cell vectors:
Na: 0.3750 0.6250 0.7500  8 W 3.74
Na: 0.6250 0.3750 0.2500  8 W 3.74
W: 0.0000 0.0000 0.0000  2 O 2.13
W: 0.0000 0.0000 0.5000  2 O 2.13
W: 0.0000 0.5000 0.0000  2 O 2.13
W: 0.5000 0.0000 0.5000  2 O 2.13
O: 0.1250 0.8750 0.2500  4 W 2.13
O: 0.8750 0.1250 0.7500  4 W 2.13

Material: NaWO3
Method: DFT, PBE+U
State: relaxed

total magnetic moment = 1.00 μB per formula unit
electronic total energy = -6.63 eV/atom
crystal system = monoclinic

Cell: 5.5991 5.5991 6.7196 Å, 100.00 100.00 42.11°
Closest atoms and distances in Å follow each position.
Sites, in units of the cell vectors:
Na: 0.1310 0.1310 0.3936  3 O 2.31-2.50
Na: 0.8690 0.8690 0.6064  3 O 2.31-2.50
W: 0.3696 0.3696 0.0925  2 O 1.83-2.03
W: 0.6304 0.6304 0.9075  2 O 1.83-2.03
O: 0.1694 0.1694 0.9494  3 W 2.06-2.13
O: 0.3462 0.3462 0.3560  1 W 1.83
O: 0.4308 0.4308 0.8230  2 W 2.03-2.06
O: 0.5692 0.5692 0.1770  2 W 2.03-2.06
O: 0.6538 0.6538 0.6440  1 W 1.83
O: 0.8306 0.8306 0.0506  3 W 2.06-2.13

Material: NaWO3
Method: DFT, PBE+U
State: relaxed

total magnetic moment = 1.00 μB per formula unit
electronic total energy = -6.71 eV/atom
crystal system = monoclinic

Cell: 5.5695 5.5695 9.5423 Å, 106.24 106.24 60.84°
Closest atoms and distances in Å follow each position.
Sites, in units of the cell vectors:
Na: 0.1156 0.6208 0.8688  5 O 2.42-2.54
Na: 0.3792 0.8844 0.6312  5 O 2.42-2.54
Na: 0.6208 0.1156 0.3688  5 O 2.42-2.54
Na: 0.8844 0.3792 0.1312  5 O 2.42-2.54
W: 0.0000 0.5000 0.5000  6 O 1.94-2.05
W: 0.2527 0.7473 0.2500  6 O 1.94-2.08
W: 0.5000 0.0000 0.0000  6 O 1.94-2.05
W: 0.7473 0.2527 0.7500  6 O 1.94-2.08
O: 0.1408 0.1579 0.3590  2 W 1.94-2.08
O: 0.1579 0.1408 0.8590  2 W 1.94-2.08
O: 0.1581 0.6772 0.4108  2 W 1.94-2.05
O: 0.3228 0.8419 0.0892  2 W 1.94-2.05
O: 0.3490 0.3560 0.1467  2 W 1.99-2.02
O: 0.3560 0.3490 0.6467  2 W 1.99-2.02
O: 0.6440 0.6510 0.3533  2 W 1.99-2.02
O: 0.6510 0.6440 0.8533  2 W 1.99-2.02
O: 0.6772 0.1581 0.9108  2 W 1.94-2.05
O: 0.8419 0.3228 0.5892  2 W 1.94-2.05
O: 0.8421 0.8592 0.1410  2 W 1.94-2.08
O: 0.8592 0.8421 0.6410  2 W 1.94-2.08

Material: NaWO4
Method: DFT, PBE+U
State: relaxed

total magnetic moment = 1.00 μB per formula unit
electronic total energy = -6.37 eV/atom
crystal system = triclinic

Cell: 4.9391 5.7489 6.9609 Å, 113.96 110.70 90.52°
Closest atoms and distances in Å follow each position.
Sites, in units of the cell vectors:
Na: 0.0916 0.3432 0.1855  6 O 2.40-2.61
Na: 0.9084 0.6568 0.8145  6 O 2.40-2.61
W: 0.3400 0.0895 0.6777  4 O 1.84-1.92
W: 0.6600 0.9105 0.3223  4 O 1.84-1.92
O: 0.0038 0.7618 0.4056  1 W 1.92
O: 0.2573 0.0054 0.8836  1 W 1.85
O: 0.3717 0.6228 0.1176  1 W 1.84
O: 0.4006 0.1435 0.4048  1 W 1.92
O: 0.5994 0.8565 0.5952  1 W 1.92
O: 0.6283 0.3772 0.8824  1 W 1.84
O: 0.7427 0.9946 0.1164  1 W 1.85
O: 0.9962 0.2382 0.5944  1 W 1.92

- What is the formula in the third record?
  NaWO3